Version P
Density functional theory data (PBE) for a relaxed Er4TmCd crystal.

abc: 3.512 3.512 14.061
angles: 90.00 90.00 90.00
Element x y z (fractional)
Er (0.000, 0.000, 0.649)
Er (0.500, 0.500, 0.825)
Cd (0.500, 0.500, 0.500)
Tm (0.000, 0.000, 0.000)
Er (0.000, 0.000, 0.351)
Er (0.500, 0.500, 0.175)

As for the calculated volume: 28.9 Å³/atom. As for the symmetry: P4/mmm (123).


Version Q
Density functional theory data (PBE) for a relaxed Er4TmCd crystal.

abc: 5.976 5.976 11.607
angles: 74.94 74.94 60.33
Element x y z (fractional)
Er (0.411, 0.253, 0.750)
Cd (0.084, 0.916, 0.750)
Cd (0.916, 0.084, 0.250)
Er (0.323, 0.838, 0.001)
Er (0.677, 0.162, 0.999)
Er (0.162, 0.677, 0.499)
Tm (0.000, 0.500, 0.000)
Er (0.747, 0.589, 0.750)
Tm (0.500, 0.000, 0.500)
Er (0.253, 0.411, 0.250)
Er (0.838, 0.323, 0.501)
Er (0.589, 0.747, 0.250)

As for the calculated volume: 28.6 Å³/atom. As for the symmetry: C2/c (15).


Most stable: version P. Least stable: version Q.


Version P
Density functional theory data (PBE) for a relaxed Er2Tm3Cd crystal.

abc: 6.491 6.602 8.885
angles: 97.70 111.42 90.00
Element x y z (fractional)
Er (0.749, 0.650, 0.356)
Er (0.608, 0.150, 0.356)
Tm (0.206, 0.509, 0.289)
Cd (0.768, 0.750, 0.000)
Tm (0.700, 0.250, 0.000)
Er (0.251, 0.350, 0.644)
Er (0.392, 0.850, 0.644)
Tm (0.083, 0.009, 0.289)
Tm (0.917, 0.991, 0.711)
Cd (0.232, 0.250, 0.000)
Tm (0.300, 0.750, 0.000)
Tm (0.794, 0.491, 0.711)

As for the calculated volume: 29.2 Å³/atom. As for the symmetry: C2/c (15).


Version Q
Density functional theory data (PBE) for a relaxed Er2Tm3Cd crystal.

abc: 3.504 3.504 14.040
angles: 90.00 90.00 90.00
Element x y z (fractional)
Er (0.500, 0.500, 0.824)
Tm (0.000, 0.000, 0.352)
Cd (0.500, 0.500, 0.500)
Er (0.500, 0.500, 0.176)
Tm (0.000, 0.000, 0.648)
Tm (0.000, 0.000, 0.000)

As for the calculated volume: 28.7 Å³/atom. As for the symmetry: P4/mmm (123).


Most stable: version Q. Least stable: version P.


Version P
Density functional theory data (PBE) for a relaxed ErTm2Cd2 crystal.

abc: 3.681 5.271 13.693
angles: 90.00 97.76 90.00
Element x y z (fractional)
Tm (0.954, 0.250, 0.908)
Cd (0.359, 0.250, 0.717)
Cd (0.449, 0.750, 0.898)
Er (0.150, 0.250, 0.299)
Tm (0.764, 0.250, 0.527)
Tm (0.046, 0.750, 0.092)
Er (0.850, 0.750, 0.701)
Cd (0.551, 0.250, 0.102)
Cd (0.641, 0.750, 0.283)
Tm (0.236, 0.750, 0.473)

As for the calculated volume: 26.3 Å³/atom. As for the symmetry: P2_1/m (11).


Version Q
Density functional theory data (PBE) for a relaxed ErTm2Cd2 crystal.

abc: 4.960 5.842 5.842
angles: 70.26 64.88 64.88
Element x y z (fractional)
Cd (0.500, 0.711, 0.289)
Tm (0.198, 0.302, 0.302)
Tm (0.802, 0.698, 0.698)
Er (0.000, 0.000, 0.000)
Cd (0.500, 0.289, 0.711)

As for the calculated volume: 27.2 Å³/atom. As for the symmetry: Immm (71).


Most stable: version P. Least stable: version Q.


Version P
Density functional theory data (PBE) for a relaxed Er5Tm4Cd crystal.

abc: 3.501 3.501 23.946
angles: 90.00 90.00 90.00
Element x y z (fractional)
Er (0.500, 0.500, 0.294)
Er (0.500, 0.500, 0.912)
Er (0.500, 0.500, 0.088)
Tm (0.000, 0.000, 0.809)
Cd (0.000, 0.000, 0.000)
Er (0.500, 0.500, 0.500)
Er (0.500, 0.500, 0.706)
Tm (0.000, 0.000, 0.397)
Tm (0.000, 0.000, 0.191)
Tm (0.000, 0.000, 0.603)

As for the calculated volume: 29.4 Å³/atom. As for the symmetry: P4/mmm (123).


Version Q
Density functional theory data (PBE) for a relaxed Er5Tm4Cd crystal.

abc: 6.109 7.756 7.756
angles: 81.08 66.81 66.81
Element x y z (fractional)
Tm (0.805, 0.697, 0.612)
Er (0.641, 0.000, 0.000)
Er (0.819, 0.369, 0.919)
Cd (0.180, 0.000, 0.000)
Er (0.107, 0.631, 0.081)
Er (0.188, 0.919, 0.631)
Tm (0.114, 0.303, 0.388)
Er (0.738, 0.081, 0.369)
Tm (0.417, 0.388, 0.697)
Tm (0.502, 0.612, 0.303)

As for the calculated volume: 31.0 Å³/atom. As for the symmetry: I4 (79).


Most stable: version P. Least stable: version Q.